The following is a GGA-PBE calculation of GdTmScOs after structural relaxation, from Alexandria.

```
GdTmScOs
1.0
0.000 3.541 3.541
3.541 0.000 3.541
3.541 3.541 0.000
Gd Tm Sc Os
1 1 1 1
Direct
0.000 0.000 0.000
0.500 0.500 0.500
0.750 0.750 0.750
0.250 0.250 0.250
```

Summary:
energy relative to the elements	-1	meV/atom
E_tot	-9.03	eV per atom
crystal system	cubic